Density functional theory data (PBE) for a relaxed structure of ScReO2F.

Unit cell a=4.1377 b=4.1377 c=3.9832 alpha=90.00 beta=90.00 gamma=90.00
Last column: nearest neighbours and their distance in Å.
Sites, in units of the cell vectors:
O1 0.0000 0.5000 0.0000  2 Sc 2.07
O2 0.5000 0.0000 0.0000  2 Sc 2.07
Sc1 0.0000 0.0000 0.0000  2 F 1.99, 4 O 2.07
F1 0.0000 0.0000 0.5000  2 Sc 1.99
Re1 0.5000 0.5000 0.5000  8 O 2.87, 4 F 2.93

Output
calculated volume	68.19	Å³/cell
magnetic moment	4.99	μB per formula unit
formation energy (no corrections)	-115.7	kJ/mol of atoms

Density functional theory data (PBE) for a relaxed structure of ScReO2F.

Unit cell a=3.7500 b=3.7500 c=5.3512 alpha=90.00 beta=90.00 gamma=90.00
Last column: nearest neighbours and their distance in Å.
Sites, in units of the cell vectors:
Sc1 0.5000 0.5000 0.5000  4 F 2.65
Re1 0.0000 0.0000 0.0000  4 O 1.87
O1 0.0000 0.5000 0.0000  2 Re 1.87
O2 0.5000 0.0000 0.0000  2 Re 1.87
F1 0.0000 0.0000 0.5000  4 Sc 2.65, 2 Re 2.68

Output
calculated volume	75.25	Å³/cell
magnetic moment	0.00	μB per formula unit
formation energy (no corrections)	-119.2	kJ/mol of atoms

Density functional theory data (PBE) for a relaxed structure of ReSeOF2.

Unit cell a=4.2617 b=4.2617 c=3.7842 alpha=90.00 beta=90.00 gamma=90.00
Last column: nearest neighbours and their distance in Å.
Sites, in units of the cell vectors:
Se1 0.5000 0.5000 0.5000  8 F 2.85, 4 O 3.01
Re1 0.0000 0.0000 0.0000  2 O 1.89
O1 0.0000 0.0000 0.5000  2 Re 1.89
F1 0.0000 0.5000 0.0000  2 Re 2.13
F2 0.5000 0.0000 0.0000  2 Re 2.13

Output
calculated volume	68.73	Å³/cell
magnetic moment	0.00	μB per formula unit
formation energy (no corrections)	-49.6	kJ/mol of atoms

Density functional theory data (PBE) for a relaxed structure of ReSeOF2.

Unit cell a=4.7082 b=4.7082 c=3.7309 alpha=90.00 beta=90.00 gamma=90.00
Last column: nearest neighbours and their distance in Å.
Sites, in units of the cell vectors:
F1 0.0000 0.5000 0.0000  2 Se 2.35
F2 0.5000 0.0000 0.0000  2 Se 2.35
Se1 0.0000 0.0000 0.0000  2 O 1.87
Re1 0.5000 0.5000 0.5000  8 F 3.00, 4 O 3.33
O1 0.0000 0.0000 0.5000  2 Se 1.87

Output
calculated volume	82.70	Å³/cell
magnetic moment	5.24	μB per formula unit
formation energy (no corrections)	44.6	kJ/mol of atoms

Density functional theory data (PBE) for a relaxed structure of SmReO4F.

Unit cell a=6.1432 b=6.1432 c=7.1130 alpha=76.67 beta=76.67 gamma=72.50
Last column: nearest neighbours and their distance in Å.
Sites, in units of the cell vectors:
O1 0.8853 0.5320 0.8498  1 Re 1.85
O2 0.4613 0.4613 0.7646  1 Re 1.76
O3 0.4680 0.1147 0.1502  1 Re 1.85
O4 0.7416 0.7416 0.4573  1 Re 1.75
O5 0.5387 0.5387 0.2354  1 Re 1.76
O6 0.5320 0.8853 0.8498  1 Re 1.85
O7 0.1147 0.4680 0.1502  1 Re 1.85
O8 0.2584 0.2584 0.5427  1 Re 1.75
Sm1 0.7999 0.7999 0.0910  2 F 2.27-2.30, 6 O 2.38-2.51
Sm2 0.2001 0.2001 0.9090  2 F 2.27-2.30, 6 O 2.38-2.51
F1 0.9920 0.9920 0.8255  2 Sm 2.27-2.30, 1 F 2.53
F2 0.0080 0.0080 0.1745  2 Sm 2.27-2.30, 1 F 2.53
Re1 0.6459 0.6459 0.7064  4 O 1.75-1.85
Re2 0.3541 0.3541 0.2936  4 O 1.75-1.85

Output
calculated volume	245.32	Å³/cell
magnetic moment	1.00	μB per formula unit
formation energy (no corrections)	-238.1	kJ/mol of atoms

Density functional theory data (PBE) for a relaxed structure of ReSnO2F.

Unit cell a=3.8022 b=3.8022 c=5.4196 alpha=90.00 beta=90.00 gamma=90.00
Last column: nearest neighbours and their distance in Å.
Sites, in units of the cell vectors:
Sn1 0.5000 0.5000 0.5000  4 F 2.69
O1 0.5000 0.0000 0.0000  2 Re 1.90
O2 0.0000 0.5000 0.0000  2 Re 1.90
F1 0.0000 0.0000 0.5000  4 Sn 2.69, 2 Re 2.71
Re1 0.0000 0.0000 0.0000  4 O 1.90

Output
calculated volume	78.35	Å³/cell
magnetic moment	0.00	μB per formula unit
formation energy (no corrections)	-97.5	kJ/mol of atoms

- What is the formula in the third record?
  ReSeOF2

- What is the formula in the fourth record?
  ReSeOF2

Repeat the fifth record exactly.
Density functional theory data (PBE) for a relaxed structure of SmReO4F.

Unit cell a=6.1432 b=6.1432 c=7.1130 alpha=76.67 beta=76.67 gamma=72.50
Last column: nearest neighbours and their distance in Å.
Sites, in units of the cell vectors:
O1 0.8853 0.5320 0.8498  1 Re 1.85
O2 0.4613 0.4613 0.7646  1 Re 1.76
O3 0.4680 0.1147 0.1502  1 Re 1.85
O4 0.7416 0.7416 0.4573  1 Re 1.75
O5 0.5387 0.5387 0.2354  1 Re 1.76
O6 0.5320 0.8853 0.8498  1 Re 1.85
O7 0.1147 0.4680 0.1502  1 Re 1.85
O8 0.2584 0.2584 0.5427  1 Re 1.75
Sm1 0.7999 0.7999 0.0910  2 F 2.27-2.30, 6 O 2.38-2.51
Sm2 0.2001 0.2001 0.9090  2 F 2.27-2.30, 6 O 2.38-2.51
F1 0.9920 0.9920 0.8255  2 Sm 2.27-2.30, 1 F 2.53
F2 0.0080 0.0080 0.1745  2 Sm 2.27-2.30, 1 F 2.53
Re1 0.6459 0.6459 0.7064  4 O 1.75-1.85
Re2 0.3541 0.3541 0.2936  4 O 1.75-1.85

Output
calculated volume	245.32	Å³/cell
magnetic moment	1.00	μB per formula unit
formation energy (no corrections)	-238.1	kJ/mol of atoms